The following is a PBE calculation of crystalline InB2Pd7 at its relaxed geometry, from Alexandria.

a b c (Å): 4.0551 6.4760 6.4761
angles (deg): 112.78 90.00 90.00
Sites, in units of the cell vectors:
B: 0.5000 0.7123 0.2877
B: 0.5000 0.2877 0.7123
Pd: 0.0000 0.3245 0.6755
Pd: 0.0000 0.6755 0.3245
Pd: 0.5000 0.5000 0.5000
Pd: 0.5000 0.3228 0.0554
In: 0.0000 0.0000 0.0000
Pd: 0.5000 0.9446 0.6772
Pd: 0.5000 0.0554 0.3228
Pd: 0.5000 0.6772 0.9446

Output
energy relative to the elements = -153 meV/atom
ρ = 9.33 g/cm³
Fermi-level density of states = 0.37 states/eV/atom
crystal system = orthorhombic
size of the total moment = 0.000 μB/f.u.